1.
The following is a PBE-GGA calculation of FeNi2Ge after structural relaxation, from Alexandria.

Calculated total energy, eV per atom: -6.3050
Symmetry: P2_1/m (11)
DOS(E_F), states/eV/atom: 0.8048

Cell lengths 4.822, 3.957, 5.059 Å; angles 90.00, 99.93, 90.00 degrees
Positions (direct):
Fe 0.127 0.250 0.432
Fe 0.873 0.750 0.568
Ni 0.162 0.250 0.936
Ni 0.355 0.750 0.250
Ni 0.645 0.250 0.750
Ni 0.838 0.750 0.064
Ge 0.368 0.750 0.750
Ge 0.632 0.250 0.250


2.
The following is a PBE-GGA calculation of Pr6YTm2 after structural relaxation, from Alexandria.

Calculated total energy, eV per atom: -4.8420
Symmetry: C2/m (12)
Polymorph energy (0 for the lowest one), kJ/mol of formula units: 0.0
DOS(E_F), states/eV/atom: 1.5217

Cell lengths 6.789, 6.789, 10.588 Å; angles 121.04, 121.04, 50.37 degrees
Positions (direct):
Pr 0.054 0.054 0.385
Pr 0.277 0.277 0.951
Pr 0.332 0.332 0.338
Pr 0.668 0.668 0.662
Pr 0.723 0.723 0.049
Pr 0.946 0.946 0.615
Y 0.000 0.000 0.000
Tm 0.388 0.388 0.730
Tm 0.612 0.612 0.270


3.
The following is a PBE-GGA calculation of Rb2Na2Ca after structural relaxation, from Alexandria.

Calculated total energy, eV per atom: -1.1658
Symmetry: P4/mbm (127)
Polymorph energy (0 for the lowest one), kJ/mol of formula units: 0.0
DOS(E_F), states/eV/atom: 0.5096

Cell lengths 10.453, 10.453, 5.191 Å; angles 90.00, 90.00, 90.00 degrees
Positions (direct):
Rb 0.175 0.325 0.000
Rb 0.325 0.825 0.000
Rb 0.675 0.175 0.000
Rb 0.825 0.675 0.000
Na 0.126 0.626 0.500
Na 0.374 0.126 0.500
Na 0.626 0.874 0.500
Na 0.874 0.374 0.500
Ca 0.000 0.000 0.500
Ca 0.500 0.500 0.500


4.
The following is a PBE-GGA calculation of ScTe2Pb after structural relaxation, from Alexandria.

Calculated total energy, eV per atom: -4.5215
Symmetry: P4/mmm (123)
DOS(E_F), states/eV/atom: 0.7018
Formation energy without anion corrections, eV/atom: -0.441

Cell lengths 5.419, 5.419, 3.820 Å; angles 90.00, 90.00, 90.00 degrees
Positions (direct):
Sc 0.000 0.000 0.000
Te 0.000 0.500 0.500
Te 0.500 0.000 0.500
Pb 0.500 0.500 0.000